{
  "formula": "TlCd2Cu",
  "functional": "PBE",
  "state": "relaxed",
  "lattice": [[4.3860, 0.0000, 0.0000], [0.0000, 4.3860, 0.0000], [0.0000, 0.0000, 4.4249]],
  "species": ["Cu", "Cd", "Cd", "Tl"],
  "frac_coords": [[0.5000, 0.0000, 0.5000], [0.0000, 0.0000, 0.0000], [0.5000, 0.5000, 0.0000], [0.0000, 0.5000, 0.5000]],
  "vol_a3_per_atom": 21.3,
  "dft_energy_ev_per_atom": -1.858
}

---

{
  "formula": "Ca2Pd2I",
  "functional": "PBE",
  "state": "relaxed",
  "lattice": [[-4.1394, -3.0469, 6.0411], [6.4394, -3.9479, 2.4211], [1.0138, 3.0110, 2.2134]],
  "species": ["Pd", "Pd", "Pd", "Pd", "I", "I", "Ca", "Ca", "Ca", "Ca"],
  "frac_coords": [[0.8788, 0.6212, 0.0000], [0.6212, 0.1212, 0.0000], [0.3788, 0.8788, 0.0000], [0.1212, 0.3788, 0.0000], [0.0000, 0.0000, 0.0000], [0.5000, 0.5000, 0.0000], [0.1706, 0.6706, 0.5000], [0.3294, 0.1706, 0.5000], [0.6706, 0.8294, 0.5000], [0.8294, 0.3294, 0.5000]],
  "e_form_raw_ev_per_atom": -0.706,
  "vol_a3_per_atom": 24.4
}